VASP calculation (PBE-GGA) on an optimized crystal structure of AcLa2In.

density of states at the Fermi level	1.467	states/eV per atom
raw total energy	-4.05	eV per atom
formation enthalpy at 0 K	2.993	kcal/mol of atoms
energy relative to the lowest polymorph listed for this composition	383	meV per atom

Structure (POSCAR):
```
AcLa2In
1.0
1.857 1.072 12.833
-1.857 1.072 12.833
0.000 -2.144 12.833
Ac La In
1 2 1
direct
0.000 0.000 0.000
0.413 0.413 0.413
0.587 0.587 0.587
0.500 0.500 0.500
```